(1)
Computed, not measured: a relaxed LaSc2Mo crystal at the PBE level of DFT.

Geometry as POSCAR:
```
LaSc2Mo
1.0
5.955 -0.015 -0.013
2.627 5.344 0.013
-3.683 -3.644 2.936
La Mo Sc
1 1 2
Cartesian
3.937 2.444 0.000
1.638 2.195 1.474
0.336 0.209 0.000
3.279 -0.499 1.461
```

Output
formation energy from the elements: 0.263 eV/atom
calculated volume: 93.7 Å³ per cell

=====

(2)
Computed, not measured: a relaxed LaScMo2 crystal at the PBE level of DFT.

Geometry as POSCAR:
```
LaScMo2
1.0
-0.938 0.208 -4.186
0.383 -3.130 -0.241
-6.065 -2.467 1.236
La Mo Sc
1 2 1
Cartesian
-4.908 -4.181 -1.311
-0.336 -0.271 0.062
-1.727 -1.169 -1.874
-2.490 -2.567 0.431
```

Output
formation energy from the elements: 0.317 eV/atom
calculated volume: 87.8 Å³ per cell

=====

no.,energy above the most stable polymorph in this dataset (meV per atom)
1,109.2
2,200.6